No. 1
VASP calculation (GGA-PBE) on crystalline CaPrGa at its relaxed geometry.

Structure (extended XYZ):
```
3
Lattice="3.6535 0.0000 0.0000 0.0000 3.6535 0.0000 -1.8267 -1.8267 6.8309" Properties=species:S:1:pos:R:3 pbc="T T T"
Ga 0.0000 0.0000 3.8350
Ca 1.8267 1.8267 5.7385
Pr 1.8267 1.8267 2.0390
```

* formation energy: -0.330 eV per atom
* ΔE to the lowest computed polymorph: 100.1 meV/atom
* magnetization: 0.00 Bohr magnetons per cell

No. 2
VASP calculation (GGA-PBE) on crystalline Ce3B2IrRh9 at its relaxed geometry.

Structure (extended XYZ):
```
15
Lattice="5.7272 0.0000 0.0000 -2.8636 4.9599 0.0000 0.0000 0.0000 8.9256" Properties=species:S:1:pos:R:3 pbc="T T T"
Ce 2.8636 1.6533 3.2734
Rh 0.0000 1.6225 2.4643
Rh 4.3220 0.8113 6.4613
Rh 2.8636 3.3373 6.4613
Ce 0.0000 3.3066 5.6522
Ir 0.0000 0.0000 4.4628
Rh 1.4318 2.4799 0.0000
B 2.8636 1.6533 7.6455
Ce 0.0000 0.0000 0.0000
Rh -1.4584 4.1486 2.4643
Rh -1.4318 2.4799 0.0000
B 0.0000 3.3066 1.2801
Rh 2.8636 0.0000 0.0000
Rh 1.4584 4.1486 2.4643
Rh 1.4052 0.8113 6.4613
```

* formation energy: -0.514 eV per atom
* magnetization: 0.09 Bohr magnetons per cell

No. 3
VASP calculation (GGA-PBE) on crystalline ReB3Ir at its relaxed geometry.

Structure (extended XYZ):
```
5
Lattice="3.9930 0.0000 0.0000 0.0000 3.9930 0.0000 0.0000 0.0000 3.9930" Properties=species:S:1:pos:R:3 pbc="T T T"
Re 1.9965 1.9965 1.9965
Ir 0.0000 0.0000 0.0000
B 0.0000 0.0000 1.9965
B 1.9965 0.0000 0.0000
B 0.0000 1.9965 0.0000
```

* formation energy: 1.700 eV per atom
* ΔE to the lowest computed polymorph: 123.5 meV/atom
* magnetization: 0.00 Bohr magnetons per cell

No. 4
VASP calculation (GGA-PBE) on crystalline Mo2Pt at its relaxed geometry.

Structure (extended XYZ):
```
3
Lattice="4.9705 0.0073 0.0000 2.7576 4.1354 0.0000 -3.8641 -2.0713 2.3419" Properties=species:S:1:pos:R:3 pbc="T T T"
Mo 2.5026 1.3415 0.0000
Mo 5.2255 2.8011 0.0000
Pt 0.0000 0.0000 0.0000
```

* formation energy: 0.058 eV per atom
* ΔE to the lowest computed polymorph: 222.2 meV/atom
* magnetization: 0.00 Bohr magnetons per cell